[1]
DFT (GGA-PBE) results for a geometry-optimized AgIrW2 structure.

Unit cell a=3.915 b=3.915 c=4.118 alpha=90.00 beta=90.00 gamma=90.00
Fractional positions:
Ag  0.000  0.000  0.000
Ir  0.500  0.500  0.000
W  0.000  0.500  0.500
W  0.500  0.000  0.500

Values from the calculation:
- Crystal system: tetragonal
- Energy above the most stable polymorph in this dataset: 0.149 eV/atom
- SG: P4/mmm, No. 123
- VASP energy: -0.6629 Ry per atom

[2]
DFT (GGA-PBE) results for a geometry-optimized Dy2Er3Tm9 structure.

Unit cell a=6.116 b=8.568 c=8.615 alpha=79.50 beta=77.35 gamma=87.37
Fractional positions:
Dy  0.048  0.032  0.299
Dy  0.952  0.968  0.701
Er  0.248  0.620  0.727
Er  0.500  0.000  0.000
Er  0.752  0.380  0.273
Tm  0.010  0.752  0.083
Tm  0.154  0.333  0.506
Tm  0.309  0.384  0.103
Tm  0.410  0.687  0.304
Tm  0.500  0.000  0.500
Tm  0.590  0.313  0.696
Tm  0.691  0.616  0.897
Tm  0.846  0.667  0.494
Tm  0.990  0.248  0.917

Values from the calculation:
- Crystal system: triclinic
- SG: P-1, No. 2
- VASP energy: -0.3223 Ry per atom

[3]
DFT (GGA-PBE) results for a geometry-optimized NaSrMg2Sc structure.

Unit cell a=5.902 b=5.902 c=5.651 alpha=90.00 beta=90.00 gamma=90.00
Fractional positions:
Na  0.000  0.000  0.000
Sr  0.000  0.000  0.500
Mg  0.000  0.500  0.500
Mg  0.500  0.000  0.500
Sc  0.500  0.500  0.000

Values from the calculation:
- Crystal system: tetragonal
- SG: P4/mmm, No. 123
- VASP energy: -0.1038 Ry per atom

What did the third record say?
DFT (GGA-PBE) results for a geometry-optimized NaSrMg2Sc structure.

Unit cell a=5.902 b=5.902 c=5.651 alpha=90.00 beta=90.00 gamma=90.00
Fractional positions:
Na  0.000  0.000  0.000
Sr  0.000  0.000  0.500
Mg  0.000  0.500  0.500
Mg  0.500  0.000  0.500
Sc  0.500  0.500  0.000

Values from the calculation:
- Crystal system: tetragonal
- SG: P4/mmm, No. 123
- VASP energy: -0.1038 Ry per atom

- Which of these has the lowest VASP energy?
  AgIrW2